Entry from Alexandria via LeMat-Bulk: a geometry-optimized PmPu5Ge6 structure (PBE).

Summary:
- calculated formation energy (meV/atom) = -165

```
data_PmPu5Ge6
_symmetry_space_group_name_H-M 'I m m m'
_symmetry_Int_Tables_number 71
_symmetry_space_group_name_Hall '-I 2 2'
_cell_length_a 5.5259
_cell_length_b 5.6393
_cell_length_c 16.9953
_cell_angle_alpha 90.00
_cell_angle_beta 90.00
_cell_angle_gamma 90.00
loop_
_atom_site_label
_atom_site_type_symbol
_atom_site_fract_x
_atom_site_fract_y
_atom_site_fract_z
Pm1 Pm 0.0000 0.0000 0.0000
Pu1 Pu 0.0000 0.0000 0.1919
Pu2 Pu 0.0000 0.5000 0.0000
Pu3 Pu 0.0000 0.5000 0.3466
Ge1 Ge 0.0000 0.2284 0.5000
Ge2 Ge 0.2349 0.5000 0.1655
```